# Rb2CaS2, optimized geometry, DFT PBE-GGA
# - Relative energy among the computed polymorphs: 39.10 kJ/mol of atoms
# - Energy relative to the elements, uncorrected: -683 meV/atom
# - Crystal system: tetragonal
data_Rb2CaS2
_chemical_formula_sum 'Rb4 Ca2 S4'
_symmetry_space_group_name_H-M 'P 4/m b m'
_symmetry_Int_Tables_number 127
_symmetry_space_group_name_Hall '-P 4 2ab'
_cell_length_a 8.655
_cell_length_b 8.655
_cell_length_c 3.981
_cell_angle_alpha 90.00
_cell_angle_beta 90.00
_cell_angle_gamma 90.00
loop_
_atom_site_label
_atom_site_type_symbol
_atom_site_fract_x
_atom_site_fract_y
_atom_site_fract_z
Rb1 Rb 0.122 0.378 0.000
Ca1 Ca 0.000 0.000 0.000
S1 S 0.185 0.685 0.500

# Pu2ScAu6, optimized geometry, DFT PBE-GGA
# - Energy relative to the elements: -0.47 eV per atom
# - Crystal system: monoclinic
data_Pu2ScAu6
_chemical_formula_sum 'Pu4 Sc2 Au12'
_symmetry_space_group_name_H-M 'C 1 2/m 1'
_symmetry_Int_Tables_number 12
_symmetry_space_group_name_Hall '-C 2y'
_cell_length_a 5.274
_cell_length_b 16.033
_cell_length_c 5.255
_cell_angle_alpha 90.00
_cell_angle_beta 119.89
_cell_angle_gamma 90.00
loop_
_atom_site_label
_atom_site_type_symbol
_atom_site_fract_x
_atom_site_fract_y
_atom_site_fract_z
Pu1 Pu 0.000 0.174 0.000
Sc1 Sc 0.000 0.000 0.500
Au1 Au 0.172 0.346 0.341
Au2 Au 0.180 0.500 0.835

# AlFe2Co, optimized geometry, DFT PBE-GGA
# - Energy relative to the elements: -0.14 eV per atom
# - Crystal system: monoclinic
data_AlFe2Co
_chemical_formula_sum 'Al2 Fe4 Co2'
_symmetry_space_group_name_H-M 'C 1 2/m 1'
_symmetry_Int_Tables_number 12
_symmetry_space_group_name_Hall '-C 2y'
_cell_length_a 4.912
_cell_length_b 8.055
_cell_length_c 2.550
_cell_angle_alpha 90.00
_cell_angle_beta 109.09
_cell_angle_gamma 90.00
loop_
_atom_site_label
_atom_site_type_symbol
_atom_site_fract_x
_atom_site_fract_y
_atom_site_fract_z
Al1 Al 0.000 0.000 0.000
Fe1 Fe 0.250 0.250 0.500
Co1 Co 0.000 0.500 0.000

# CeGdDyEr, optimized geometry, DFT PBE-GGA
# - Energy relative to the elements: 0.17 eV per atom
# - Crystal system: cubic
data_CeGdDyEr
_chemical_formula_sum 'Ce4 Gd4 Dy4 Er4'
_symmetry_space_group_name_H-M 'F -4 3 m'
_symmetry_Int_Tables_number 216
_symmetry_space_group_name_Hall 'F -4 2 3'
_cell_length_a 7.998
_cell_length_b 7.998
_cell_length_c 7.998
_cell_angle_alpha 90.00
_cell_angle_beta 90.00
_cell_angle_gamma 90.00
loop_
_atom_site_label
_atom_site_type_symbol
_atom_site_fract_x
_atom_site_fract_y
_atom_site_fract_z
Ce1 Ce 0.000 0.000 0.000
Gd1 Gd 0.250 0.250 0.250
Dy1 Dy 0.250 0.250 0.750
Er1 Er 0.000 0.000 0.500

# VGaTc2, optimized geometry, DFT PBE-GGA
# - Relative energy among the computed polymorphs: 19.36 kJ/mol of atoms
# - Energy relative to the elements: -0.04 eV per atom
# - Crystal system: trigonal
data_VGaTc2
_chemical_formula_sum 'V3 Ga3 Tc6'
_symmetry_space_group_name_H-M 'R -3 m'
_symmetry_Int_Tables_number 166
_symmetry_space_group_name_Hall '-R 3 2"'
_cell_length_a 2.8930
_cell_length_b 2.8930
_cell_length_c 24.2816
_cell_angle_alpha 90.00
_cell_angle_beta 90.00
_cell_angle_gamma 120.00
loop_
_atom_site_label
_atom_site_type_symbol
_atom_site_fract_x
_atom_site_fract_y
_atom_site_fract_z
V1 V 0.0000 0.0000 0.0000
Ga1 Ga 0.0000 0.0000 0.5000
Tc1 Tc 0.0000 0.0000 0.2545

# SmEuMgCu, optimized geometry, DFT PBE-GGA
# - Energy relative to the elements: -0.01 eV per atom
# - Crystal system: cubic
data_SmEuMgCu
_chemical_formula_sum 'Sm4 Eu4 Mg4 Cu4'
_symmetry_space_group_name_H-M 'F -4 3 m'
_symmetry_Int_Tables_number 216
_symmetry_space_group_name_Hall 'F -4 2 3'
_cell_length_a 7.514
_cell_length_b 7.514
_cell_length_c 7.514
_cell_angle_alpha 90.00
_cell_angle_beta 90.00
_cell_angle_gamma 90.00
loop_
_atom_site_label
_atom_site_type_symbol
_atom_site_fract_x
_atom_site_fract_y
_atom_site_fract_z
Sm1 Sm 0.000 0.000 0.000
Eu1 Eu 0.000 0.000 0.500
Mg1 Mg 0.250 0.250 0.250
Cu1 Cu 0.250 0.250 0.750

# BaCu2NiCl, optimized geometry, DFT PBE-GGA
# - Energy relative to the elements, uncorrected: 1388 meV/atom
# - Crystal system: tetragonal
data_BaCu2NiCl
_chemical_formula_sum 'Ba1 Cu2 Ni1 Cl1'
_symmetry_space_group_name_H-M 'P 4/m m m'
_symmetry_Int_Tables_number 123
_symmetry_space_group_name_Hall '-P 4 2'
_cell_length_a 5.686
_cell_length_b 5.686
_cell_length_c 5.127
_cell_angle_alpha 90.00
_cell_angle_beta 90.00
_cell_angle_gamma 90.00
loop_
_atom_site_label
_atom_site_type_symbol
_atom_site_fract_x
_atom_site_fract_y
_atom_site_fract_z
Ba1 Ba 0.000 0.000 0.000
Cu1 Cu 0.000 0.500 0.000
Ni1 Ni 0.000 0.000 0.500
Cl1 Cl 0.500 0.500 0.500

# Li6Rh, optimized geometry, DFT PBE-GGA
# - Relative energy among the computed polymorphs: 0.00 kJ/mol of atoms
# - Energy relative to the elements: -0.05 eV per atom
# - Crystal system: trigonal
data_Li6Rh
_chemical_formula_sum 'Li18 Rh3'
_symmetry_space_group_name_H-M 'R -3 m'
_symmetry_Int_Tables_number 166
_symmetry_space_group_name_Hall '-R 3 2"'
_cell_length_a 4.4432
_cell_length_b 4.4432
_cell_length_c 19.3699
_cell_angle_alpha 90.00
_cell_angle_beta 90.00
_cell_angle_gamma 120.00
loop_
_atom_site_label
_atom_site_type_symbol
_atom_site_fract_x
_atom_site_fract_y
_atom_site_fract_z
Li1 Li 0.0000 0.0000 0.0849
Li2 Li 0.0000 0.0000 0.2111
Li3 Li 0.0000 0.0000 0.3677
Rh1 Rh 0.0000 0.0000 0.5000

# Na2CrB, optimized geometry, DFT PBE-GGA
# - Energy relative to the elements: 0.86 eV per atom
# - Crystal system: tetragonal
data_Na2CrB
_chemical_formula_sum 'Na8 Cr4 B4'
_symmetry_space_group_name_H-M 'I -4 2 d'
_symmetry_Int_Tables_number 122
_symmetry_space_group_name_Hall 'I -4 2bw'
_cell_length_a 10.103
_cell_length_b 10.103
_cell_length_c 4.089
_cell_angle_alpha 90.00
_cell_angle_beta 90.00
_cell_angle_gamma 90.00
loop_
_atom_site_label
_atom_site_type_symbol
_atom_site_fract_x
_atom_site_fract_y
_atom_site_fract_z
Na1 Na 0.079 0.750 0.125
Cr1 Cr 0.000 0.000 0.500
B1 B 0.000 0.000 0.000

# Zr3Ga4Pd2, optimized geometry, DFT PBE-GGA
# - Energy relative to the elements: -0.66 eV per atom
# - Crystal system: monoclinic
data_Zr3Ga4Pd2
_chemical_formula_sum 'Zr6 Ga8 Pd4'
_symmetry_space_group_name_H-M 'C 1 2/m 1'
_symmetry_Int_Tables_number 12
_symmetry_space_group_name_Hall '-C 2y'
_cell_length_a 9.836
_cell_length_b 4.454
_cell_length_c 8.351
_cell_angle_alpha 90.00
_cell_angle_beta 119.38
_cell_angle_gamma 90.00
loop_
_atom_site_label
_atom_site_type_symbol
_atom_site_fract_x
_atom_site_fract_y
_atom_site_fract_z
Zr1 Zr 0.000 0.000 0.000
Zr2 Zr 0.162 0.500 0.673
Ga1 Ga 0.080 0.000 0.410
Ga2 Ga 0.202 0.500 0.039
Pd1 Pd 0.113 0.500 0.279

# ZnSi2Tc, optimized geometry, DFT PBE-GGA
# - Relative energy among the computed polymorphs: 26.03 kJ/mol of atoms
# - Energy relative to the elements, uncorrected: 159 meV/atom
# - Crystal system: trigonal
data_ZnSi2Tc
_chemical_formula_sum 'Zn3 Si6 Tc3'
_symmetry_space_group_name_H-M 'R 3 m'
_symmetry_Int_Tables_number 160
_symmetry_space_group_name_Hall 'R 3 -2"'
_cell_length_a 2.9469
_cell_length_b 2.9469
_cell_length_c 23.3032
_cell_angle_alpha 90.00
_cell_angle_beta 90.00
_cell_angle_gamma 120.00
loop_
_atom_site_label
_atom_site_type_symbol
_atom_site_fract_x
_atom_site_fract_y
_atom_site_fract_z
Zn1 Zn 0.0000 0.0000 0.0000
Si1 Si 0.0000 0.0000 0.4993
Si2 Si 0.0000 0.0000 0.7527
Tc1 Tc 0.0000 0.0000 0.2423

# PbSeBr2, optimized geometry, DFT PBE-GGA
# - Relative energy among the computed polymorphs: 35.81 kJ/mol of atoms
# - Energy relative to the elements, uncorrected: -93 meV/atom
# - Crystal system: tetragonal
data_PbSeBr2
_chemical_formula_sum 'Pb4 Se4 Br8'
_symmetry_space_group_name_H-M 'I -4 2 d'
_symmetry_Int_Tables_number 122
_symmetry_space_group_name_Hall 'I -4 2bw'
_cell_length_a 8.691
_cell_length_b 8.691
_cell_length_c 7.003
_cell_angle_alpha 90.00
_cell_angle_beta 90.00
_cell_angle_gamma 90.00
loop_
_atom_site_label
_atom_site_type_symbol
_atom_site_fract_x
_atom_site_fract_y
_atom_site_fract_z
Pb1 Pb 0.000 0.000 0.000
Se1 Se 0.000 0.000 0.500
Br1 Br 0.219 0.250 0.125

Number 1: Fermi-level density of states 0.00 states/eV/f.u.. Number 2: Fermi-level density of states 27.55 states/eV/f.u.. Number 3: Fermi-level density of states 3.84 states/eV/f.u.. Number 4: Fermi-level density of states 9.41 states/eV/f.u.. Number 5: Fermi-level density of states 3.03 states/eV/f.u.. Number 6: Fermi-level density of states 7.14 states/eV/f.u.. Number 7: Fermi-level density of states 5.36 states/eV/f.u.. Number 8: Fermi-level density of states 2.00 states/eV/f.u.. Number 9: Fermi-level density of states 1.71 states/eV/f.u.. Number 10: Fermi-level density of states 5.21 states/eV/f.u.. Number 11: Fermi-level density of states 3.11 states/eV/f.u.. Number 12: Fermi-level density of states 0.33 states/eV/f.u..